The following is a PBE-GGA calculation of a geometry-optimized LaGdTlGa structure, from Alexandria via LeMat-Bulk.

Cell: 7.6301 7.6301 7.6301 Å, 90.00 90.00 90.00°
Space group F-43m (No. 216)
Asymmetric unit:
La1 0.0000 0.0000 0.0000
Gd1 0.0000 0.0000 0.5000
Tl1 0.2500 0.2500 0.7500
Ga1 0.2500 0.2500 0.2500

Output
DOS(E_F) = 11.6 states/eV/cell
ΔE_f = -455 meV per atom
Total magnetic moment = 7.266 μB/f.u.


The following is a PBE-GGA calculation of a geometry-optimized Li4GdGa structure, from Alexandria via LeMat-Bulk.

Cell: 7.6306 7.6306 7.6306 Å, 90.00 90.00 90.00°
Space group F-43m (No. 216)
Asymmetric unit:
Li1 0.1232 0.1232 0.3768
Gd1 0.0000 0.0000 0.0000
Ga1 0.2500 0.2500 0.7500

Output
DOS(E_F) = 12.1 states/eV/cell
ΔE_f = -94 meV per atom
Total magnetic moment = 6.954 μB/f.u.


The following is a PBE-GGA calculation of a geometry-optimized LiGdLuGa structure, from Alexandria via LeMat-Bulk.

Cell: 7.1665 7.1665 7.1665 Å, 90.00 90.00 90.00°
Space group F-43m (No. 216)
Asymmetric unit:
Li1 0.0000 0.0000 0.0000
Gd1 0.2500 0.2500 0.7500
Lu1 0.2500 0.2500 0.2500
Ga1 0.0000 0.0000 0.5000

Output
DOS(E_F) = 9.9 states/eV/cell
ΔE_f = -309 meV per atom
Total magnetic moment = 7.469 μB/f.u.


The following is a PBE-GGA calculation of a geometry-optimized LiGdMgGa structure, from Alexandria via LeMat-Bulk.

Cell: 6.9302 6.9302 6.9302 Å, 90.00 90.00 90.00°
Space group F-43m (No. 216)
Asymmetric unit:
Li1 0.0000 0.0000 0.0000
Gd1 0.2500 0.2500 0.7500
Mg1 0.2500 0.2500 0.2500
Ga1 0.0000 0.0000 0.5000

Output
DOS(E_F) = 11.5 states/eV/cell
ΔE_f = -324 meV per atom
Total magnetic moment = 7.198 μB/f.u.


The following is a PBE-GGA calculation of a geometry-optimized LiPrGdGa structure, from Alexandria via LeMat-Bulk.

Cell: 7.3854 7.3854 7.3854 Å, 90.00 90.00 90.00°
Space group F-43m (No. 216)
Asymmetric unit:
Li1 0.0000 0.0000 0.0000
Pr1 0.2500 0.2500 0.2500
Gd1 0.2500 0.2500 0.7500
Ga1 0.0000 0.0000 0.5000

Output
DOS(E_F) = 13.1 states/eV/cell
ΔE_f = -304 meV per atom
Total magnetic moment = 7.698 μB/f.u.


The following is a PBE-GGA calculation of a geometry-optimized LiGdGaPt structure, from Alexandria via LeMat-Bulk.

Cell: 6.6369 6.6369 6.6369 Å, 90.00 90.00 90.00°
Space group F-43m (No. 216)
Asymmetric unit:
Li1 0.0000 0.0000 0.0000
Gd1 0.2500 0.2500 0.7500
Ga1 0.2500 0.2500 0.2500
Pt1 0.0000 0.0000 0.5000

Output
DOS(E_F) = 16.0 states/eV/cell
ΔE_f = -739 meV per atom
Total magnetic moment = 7.701 μB/f.u.


The following is a PBE-GGA calculation of a geometry-optimized LiGdScGa structure, from Alexandria via LeMat-Bulk.

Cell: 7.0297 7.0297 7.0297 Å, 90.00 90.00 90.00°
Space group F-43m (No. 216)
Asymmetric unit:
Li1 0.0000 0.0000 0.0000
Gd1 0.2500 0.2500 0.7500
Sc1 0.2500 0.2500 0.2500
Ga1 0.0000 0.0000 0.5000

Output
DOS(E_F) = 12.2 states/eV/cell
ΔE_f = -315 meV per atom
Total magnetic moment = 7.581 μB/f.u.


The following is a PBE-GGA calculation of a geometry-optimized LiSmGdGa structure, from Alexandria via LeMat-Bulk.

Cell: 7.3248 7.3248 7.3248 Å, 90.00 90.00 90.00°
Space group F-43m (No. 216)
Asymmetric unit:
Li1 0.0000 0.0000 0.0000
Sm1 0.2500 0.2500 0.2500
Gd1 0.2500 0.2500 0.7500
Ga1 0.0000 0.0000 0.5000

Output
DOS(E_F) = 12.3 states/eV/cell
ΔE_f = -308 meV per atom
Total magnetic moment = 7.586 μB/f.u.